No. 1
Compound: Co7Ni2Ir2
Source: Alexandria via LeMat-Bulk
Functional: PBE
Structure: relaxed

Properties
The raw total energy comes out at -6.93 eV per atom. Its space-group type is No. 12. The magnetization is 13.91 Bohr magnetons per cell. The value obtained for the energy of formation is 5.91 kcal/mol of atoms.

Unit cell a=6.0569 b=4.9593 c=4.9593 alpha=72.99 beta=103.15 gamma=103.15
Last column: magnetic moment on the atom in μB.
Fractional positions:
Co 0.6781 0.9314 0.5234  1.60
Co 0.9660 0.2627 0.2627  1.71
Co 0.0340 0.7373 0.7373  1.71
Co 0.5000 0.0000 0.0000  2.04
Co 0.3219 0.4766 0.0686  1.60
Co 0.3219 0.0686 0.4766  1.60
Co 0.6781 0.5234 0.9314  1.60
Ni 0.0000 0.2022 0.7978  0.67
Ni 0.0000 0.7978 0.2022  0.67
Ir 0.3138 0.5525 0.5525  0.44
Ir 0.6862 0.4475 0.4475  0.44

=====

No. 2
Compound: Zn5Hg3Cl12
Source: Alexandria via LeMat-Bulk
Functional: PBE
Structure: relaxed

Properties
The raw total energy comes out at -2.24 eV per atom. Its space-group type is No. 230. The magnetization is 7.44 Bohr magnetons per cell.

Unit cell a=13.8651 b=13.8651 c=13.8651 alpha=109.47 beta=109.47 gamma=109.47
Last column: magnetic moment on the atom in μB.
Fractional positions:
Cl 0.8922 0.3066 0.4892  0.04
Cl 0.8066 0.3174 0.9144  0.04
Cl 0.6934 0.5856 0.1826  0.04
Cl 0.8066 0.4892 0.3922  0.04
Cl 0.9892 0.5970 0.1826  0.04
Cl 0.3174 0.5108 0.4030  0.04
Cl 0.4030 0.3922 0.5856  0.04
Cl 0.9144 0.0970 0.6078  0.04
Cl 0.9892 0.3922 0.3066  0.04
Cl 0.3174 0.8066 0.4144  0.04
Cl 0.1078 0.4144 0.0970  0.04
Cl 0.1826 0.0856 0.6934  0.04
Cl 0.6826 0.1934 0.5856  0.04
Cl 0.6078 0.0108 0.1934  0.04
Cl 0.9030 0.0856 0.8922  0.04
Cl 0.5108 0.3174 0.9030  0.04
Cl 0.4144 0.1078 0.5970  0.04
Cl 0.0108 0.4030 0.8174  0.04
Cl 0.1826 0.0970 0.9892  0.04
Cl 0.8174 0.9144 0.3066  0.04
Cl 0.4144 0.3066 0.3174  0.04
Cl 0.6826 0.4892 0.5970  0.04
Cl 0.1934 0.6826 0.0856  0.04
Cl 0.3922 0.4030 0.0856  0.04
Cl 0.3922 0.9892 0.8066  0.04
Cl 0.4892 0.8066 0.8922  0.04
Cl 0.0108 0.6078 0.6934  0.04
Cl 0.9144 0.8174 0.8066  0.04
Cl 0.3066 0.8922 0.9892  0.04
Cl 0.5856 0.6934 0.6826  0.04
Cl 0.5856 0.8922 0.4030  0.04
Cl 0.0970 0.9144 0.1078  0.04
Cl 0.1934 0.5108 0.6078  0.04
Cl 0.8922 0.5856 0.9030  0.04
Cl 0.5970 0.6078 0.4144  0.04
Cl 0.5970 0.9892 0.6826  0.04
Cl 0.9030 0.8174 0.5108  0.04
Cl 0.0970 0.1826 0.4892  0.04
Cl 0.0856 0.9030 0.3922  0.04
Cl 0.6078 0.5970 0.9144  0.04
Cl 0.6934 0.1078 0.0108  0.04
Cl 0.5108 0.1934 0.1078  0.04
Cl 0.4030 0.0108 0.3174  0.04
Cl 0.0856 0.1826 0.1934  0.04
Cl 0.8174 0.9030 0.0108  0.04
Cl 0.1078 0.6934 0.5108  0.04
Cl 0.4892 0.6826 0.0970  0.04
Cl 0.3066 0.4144 0.8174  0.04
Hg 0.7500 0.8750 0.6250  0.28
Hg 0.1250 0.8750 0.7500  0.28
Hg 0.8750 0.7500 0.1250  0.28
Hg 0.3750 0.7500 0.6250  0.28
Hg 0.7500 0.3750 0.1250  0.28
Hg 0.6250 0.3750 0.7500  0.28
Hg 0.3750 0.6250 0.2500  0.28
Hg 0.2500 0.6250 0.8750  0.28
Hg 0.1250 0.2500 0.8750  0.28
Hg 0.8750 0.1250 0.2500  0.28
Hg 0.6250 0.2500 0.3750  0.28
Hg 0.2500 0.1250 0.3750  0.28
Zn 0.2500 0.8750 0.1250  0.00
Zn 0.5000 0.0000 0.0000  0.00
Zn 0.2500 0.3750 0.6250  0.00
Zn 0.1250 0.7500 0.3750  0.00
Zn 0.3750 0.1250 0.7500  0.00
Zn 0.5000 0.5000 0.5000  0.00
Zn 0.8750 0.6250 0.7500  0.00
Zn 0.0000 0.5000 0.5000  0.00
Zn 0.0000 0.5000 0.0000  0.00
Zn 0.7500 0.1250 0.8750  0.00
Zn 0.8750 0.2500 0.6250  0.00
Zn 0.0000 0.0000 0.0000  0.00
Zn 0.5000 0.0000 0.5000  0.00
Zn 0.6250 0.8750 0.2500  0.00
Zn 0.6250 0.7500 0.8750  0.00
Zn 0.0000 0.0000 0.5000  0.00
Zn 0.7500 0.6250 0.3750  0.00
Zn 0.1250 0.3750 0.2500  0.00
Zn 0.3750 0.2500 0.1250  0.00
Zn 0.5000 0.5000 0.0000  0.00

=====

No. 3
Compound: CsAlPbF6
Source: Alexandria via LeMat-Bulk
Functional: PBE
Structure: relaxed

Properties
The raw total energy comes out at -5.22 eV per atom. Its space-group type is No. 74. The magnetization is 0.00 Bohr magnetons per cell.

Unit cell a=8.2759 b=7.4299 c=7.6541 alpha=119.04 beta=122.73 gamma=90.00
Fractional positions:
Cs 0.8482 0.5982 0.6965
Cs 0.1518 0.4018 0.3035
F 0.5265 0.7765 0.0530
F 0.5334 0.3981 0.7564
F 0.2230 0.3981 0.7564
F 0.1312 0.8812 0.2623
F 0.7770 0.6019 0.2436
F 0.4735 0.2235 0.9470
F 0.8688 0.1188 0.7377
F 0.2230 0.8583 0.7564
F 0.4666 0.6019 0.2436
F 0.7770 0.1417 0.2436
F 0.5334 0.8583 0.7564
F 0.4666 0.1417 0.2436
Al 0.5000 0.0000 0.0000
Al 0.5000 0.5000 0.0000
Pb 0.5000 0.0000 0.5000
Pb 0.0000 0.0000 0.5000

=====

No. 4
Compound: Ac2CrSnPt6
Source: Alexandria via LeMat-Bulk
Functional: PBE
Structure: relaxed

Properties
The raw total energy comes out at -6.52 eV per atom. Its space-group type is No. 12. The magnetization is 3.46 Bohr magnetons per cell. The value obtained for the energy of formation is -16.38 kcal/mol of atoms.

Unit cell a=6.9162 b=6.9776 c=6.9132 alpha=79.55 beta=47.43 gamma=98.00
Last column: magnetic moment on the atom in μB.
Fractional positions:
Pt 0.2552 0.2479 0.5088  0.02
Pt 0.7572 0.2482 0.0071  0.02
Pt 0.2428 0.7518 0.9929  0.02
Pt 0.7536 0.6071 0.1474  0.05
Pt 0.2464 0.3929 0.8526  0.05
Pt 0.7448 0.7521 0.4912  0.02
Cr 0.0000 0.0000 0.0000  2.90
Sn 0.5000 0.5000 0.0000  0.02
Ac 0.2577 0.8014 0.4565  0.00
Ac 0.7423 0.1986 0.5435  0.00

=====

No. 5
Compound: PuZrTl
Source: Alexandria via LeMat-Bulk
Functional: PBE
Structure: relaxed

Properties
The raw total energy comes out at -8.25 eV per atom. The value obtained for the offset from the most stable computed form is 107 meV/atom. Its space-group type is No. 156. The magnetization is 5.94 Bohr magnetons per cell. The value obtained for the energy of formation is 3.84 kcal/mol of atoms.

Unit cell a=3.2599 b=5.2127 c=5.2127 alpha=120.00 beta=90.00 gamma=90.00
Last column: magnetic moment on the atom in μB.
Fractional positions:
Tl 0.1680 0.0000 0.0000  -0.02
Pu 0.6665 0.6667 0.3333  5.48
Zr 0.1655 0.3333 0.6667  0.06

=====

No. 6
Compound: RbCaBeSiPdSe
Source: Alexandria via LeMat-Bulk
Functional: PBE
Structure: relaxed

Properties
The raw total energy comes out at -4.24 eV per atom. The value obtained for the offset from the most stable computed form is 14 meV/atom. Its space-group type is No. 8. The magnetization is 0.00 Bohr magnetons per cell.

Unit cell a=10.2718 b=4.1726 c=7.1850 alpha=90.00 beta=102.59 gamma=90.00
Fractional positions:
Si 0.7452 0.5000 0.6812
Si 0.7452 0.0000 0.1812
Be 0.7217 0.0000 0.5070
Be 0.7217 0.5000 0.0070
Pd 0.7484 0.0000 0.8492
Pd 0.7484 0.5000 0.3492
Se 0.1649 0.0000 0.3146
Se 0.1649 0.5000 0.8146
Rb 0.3988 0.0000 0.7218
Rb 0.3988 0.5000 0.2218
Ca 0.0157 0.5000 0.1023
Ca 0.0157 0.0000 0.6023

=====

No. 7
Compound: Dy2Er3UN6
Source: Alexandria via LeMat-Bulk
Functional: PBE
Structure: relaxed

Properties
The raw total energy comes out at -8.72 eV per atom. Its space-group type is No. 12. The magnetization is 0.78 Bohr magnetons per cell.

Unit cell a=5.9535 b=5.9535 c=5.9445 alpha=99.59 beta=99.59 gamma=119.99
Last column: magnetic moment on the atom in μB.
Fractional positions:
N 0.2344 0.2344 0.7584  -0.01
N 0.6020 0.9181 0.7547  -0.01
N 0.3980 0.0819 0.2453  -0.01
N 0.7656 0.7656 0.2416  -0.01
N 0.0819 0.3980 0.2453  -0.01
N 0.9181 0.6020 0.7547  -0.01
Er 0.8323 0.1677 0.5000  0.01
Er 0.1677 0.8323 0.5000  0.01
Er 0.5000 0.5000 0.5000  0.02
U 0.0000 0.0000 0.0000  0.71
Dy 0.3336 0.6664 0.0000  0.02
Dy 0.6664 0.3336 0.0000  0.02

=====

No. 8
Compound: Ca2SnWCl
Source: Alexandria via LeMat-Bulk
Functional: PBE
Structure: relaxed

Properties
The raw total energy comes out at -4.06 eV per atom. Its space-group type is No. 123. The magnetization is 1.08 Bohr magnetons per cell.

Unit cell a=5.9284 b=4.4340 c=5.9284 alpha=90.00 beta=90.00 gamma=90.00
Last column: magnetic moment on the atom in μB.
Fractional positions:
Sn 0.5000 0.5000 0.5000  0.08
Ca 0.5000 0.0000 0.0000  0.03
Ca 0.0000 0.0000 0.5000  0.01
Cl 0.0000 0.5000 0.0000  0.01
W 0.0000 0.0000 0.0000  0.57

=====

No. 9
Compound: LaNdGaPb
Source: Alexandria via LeMat-Bulk
Functional: PBE
Structure: relaxed

Properties
The raw total energy comes out at -4.60 eV per atom. Its space-group type is No. 216. The magnetization is 0.00 Bohr magnetons per cell. The value obtained for the energy of formation is -11.43 kcal/mol of atoms.

Unit cell a=5.4767 b=5.4767 c=5.4767 alpha=60.00 beta=60.00 gamma=60.00
Fractional positions:
Pb 0.5000 0.5000 0.5000
Ga 0.0000 0.0000 0.0000
Nd 0.7500 0.7500 0.7500
La 0.2500 0.2500 0.2500

=====

No. 10
Compound: AcPr5Sb4
Source: Alexandria via LeMat-Bulk
Functional: PBE
Structure: relaxed

Properties
The raw total energy comes out at -5.08 eV per atom. Its space-group type is No. 59. The magnetization is 0.00 Bohr magnetons per cell.

Unit cell a=7.4620 b=9.8075 c=11.1566 alpha=90.00 beta=90.00 gamma=90.00
Fractional positions:
Sb 0.9960 0.5000 0.2294
Sb 0.0040 0.0000 0.2706
Sb 0.0040 0.0000 0.7294
Sb 0.5430 0.2323 0.0000
Sb 0.5430 0.7677 0.0000
Sb 0.4570 0.7323 0.5000
Sb 0.9960 0.5000 0.7706
Sb 0.4570 0.2677 0.5000
Pr 0.7383 0.2501 0.2901
Pr 0.7690 0.5000 0.0000
Pr 0.2617 0.7501 0.2099
Pr 0.2617 0.2499 0.7901
Pr 0.2310 0.0000 0.5000
Pr 0.2617 0.7501 0.7901
Pr 0.7383 0.7499 0.2901
Pr 0.7383 0.7499 0.7099
Pr 0.7383 0.2501 0.7099
Pr 0.2617 0.2499 0.2099
Ac 0.1443 0.5000 0.5000
Ac 0.8557 0.0000 0.0000

=====

No. 11
Compound: KBH6
Source: Alexandria via LeMat-Bulk
Functional: PBE
Structure: relaxed

Properties
The raw total energy comes out at -3.25 eV per atom. Its space-group type is No. 166. The magnetization is 0.00 Bohr magnetons per cell.

Unit cell a=3.9159 b=3.9159 c=5.3431 alpha=68.50 beta=68.50 gamma=60.00
Fractional positions:
H 0.8779 0.8779 0.8561
H 0.3882 0.8779 0.8561
H 0.1221 0.6118 0.1439
H 0.6118 0.1221 0.1439
H 0.8779 0.3882 0.8561
H 0.1221 0.1221 0.1439
K 0.5000 0.5000 0.5000
B 0.0000 0.0000 0.0000

=====

No. 12
Compound: SrCr2Os
Source: Alexandria via LeMat-Bulk
Functional: PBE
Structure: relaxed

Properties
The raw total energy comes out at -7.11 eV per atom. The value obtained for the offset from the most stable computed form is 334 meV/atom. Its space-group type is No. 71. The magnetization is 5.85 Bohr magnetons per cell. The value obtained for the energy of formation is 21.35 kcal/mol of atoms.

Unit cell a=5.5768 b=5.5768 c=5.5768 alpha=143.91 beta=121.95 gamma=70.29
Last column: magnetic moment on the atom in μB.
Fractional positions:
Sr 0.2500 0.7500 0.5000  0.04
Cr 0.5608 0.5608 0.0000  2.96
Cr 0.9392 0.9392 0.0000  2.96
Os 0.7500 0.2500 0.5000  -0.68